# LiMnPO4

A crystal of LiMnPO4 relaxed with PBEsol (meta-GGA SCAN, Alexandria).

Calculated values
total DFT energy (no corrections) = -292.48 eV/cell
formation energy (no corrections) = -2450 meV per atom

Cell: 4.3467 14.2317 4.7786 Å, 90.00 90.00 90.00°
Fractional coordinates of all 28 atoms:
Li 0.0000 0.2482 0.2500
Li 0.0000 0.7518 0.7500
Li 0.5000 0.2518 0.7500
Li 0.5000 0.7482 0.2500
Mn 0.0000 0.0730 0.7500
Mn 0.0000 0.9270 0.2500
Mn 0.5000 0.4270 0.2500
Mn 0.5000 0.5730 0.7500
P 0.0000 0.3864 0.7500
P 0.0000 0.6136 0.2500
P 0.5000 0.1136 0.2500
P 0.5000 0.8864 0.7500
O 0.1852 0.3256 0.5373
O 0.1852 0.6744 0.0373
O 0.2361 0.4469 0.9116
O 0.2361 0.5531 0.4116
O 0.2639 0.0531 0.4116
O 0.2639 0.9469 0.9116
O 0.3148 0.1744 0.0373
O 0.3148 0.8256 0.5373
O 0.6852 0.1744 0.4627
O 0.6852 0.8256 0.9627
O 0.7361 0.0531 0.0884
O 0.7361 0.9469 0.5884
O 0.7639 0.4469 0.5884
O 0.7639 0.5531 0.0884
O 0.8148 0.3256 0.9627
O 0.8148 0.6744 0.4627

=====

# CuRhNF2

A crystal of CuRhNF2 relaxed with PBEsol (meta-GGA SCAN, Alexandria).

Calculated values
total DFT energy (no corrections) = -66.29 eV/cell
formation energy (no corrections) = -189 meV per atom

Cell: 4.1929 4.1929 3.6133 Å, 90.00 90.00 90.00°
Fractional coordinates of all 5 atoms:
Cu 0.0000 0.0000 0.0000
Rh 0.5000 0.5000 0.5000
N 0.5000 0.5000 0.0000
F 0.0000 0.5000 0.5000
F 0.5000 0.0000 0.5000

=====

# Li5V5O9F

A crystal of Li5V5O9F relaxed with PBEsol (meta-GGA SCAN, Alexandria).

Calculated values
total DFT energy (no corrections) = -209.49 eV/cell
formation energy (no corrections) = -2524 meV per atom

Cell: 4.8174 5.2429 7.3298 Å, 101.50 109.12 98.57°
Fractional coordinates of all 20 atoms:
Li 0.0000 0.0000 0.0000
Li 0.1721 0.9869 0.4006
Li 0.4084 0.0137 0.8052
Li 0.5918 0.9932 0.1927
Li 0.8069 0.9773 0.6083
V 0.0447 0.4999 0.5028
V 0.2198 0.5013 0.8894
V 0.3466 0.5078 0.2968
V 0.5524 0.5071 0.7097
V 0.8345 0.5009 0.1153
O 0.1811 0.2340 0.6456
O 0.2002 0.7533 0.1493
O 0.4032 0.2772 0.0590
O 0.4082 0.7680 0.5554
O 0.6018 0.7517 0.9543
O 0.7822 0.7106 0.3466
O 0.8025 0.2782 0.8564
O 0.9802 0.7112 0.7425
O 0.9874 0.2347 0.2536
F 0.5973 0.2597 0.4535